(1)
Below is AcIn2P2Pt7 after structural relaxation, with properties calculated at the PBE level.

**Fermi-level density of states**: 10.8 states/eV per cell
**Energy**: -5.745 eV/atom
**Formation enthalpy at 0 K**: -521 meV/atom
**Density**: 13.1 Mg/m³
**Size of the total moment**: 0.00 μB per cell

The structure in CIF format:
```
data_AcIn2P2Pt7
_symmetry_space_group_name_H-M 'C 1 2/m 1'
_symmetry_Int_Tables_number 12
_symmetry_space_group_name_Hall '-C 2y'
_cell_length_a 5.724
_cell_length_b 5.757
_cell_length_c 14.597
_cell_angle_alpha 90.00
_cell_angle_beta 95.85
_cell_angle_gamma 90.00
loop_
_atom_site_label
_atom_site_type_symbol
_atom_site_fract_x
_atom_site_fract_y
_atom_site_fract_z
Ac1 Ac 0.000 0.000 0.000
In1 In 0.115 0.000 0.410
P1 P 0.078 0.500 0.254
Pt1 Pt 0.000 0.500 0.000
Pt2 Pt 0.100 0.500 0.411
Pt3 Pt 0.197 0.252 0.829
```

=====

(2)
Below is Mg8TlZn2 after structural relaxation, with properties calculated at the PBE level.

**Fermi-level density of states**: 8.5 states/eV per cell
**Energy**: -1.609 eV/atom
**Formation enthalpy at 0 K**: -3 meV/atom
**Density**: 3.6 Mg/m³
**Size of the total moment**: 0.00 μB per cell

The structure in CIF format:
```
data_Mg8TlZn2
_symmetry_space_group_name_H-M 'C 1 2/m 1'
_symmetry_Int_Tables_number 12
_symmetry_space_group_name_Hall '-C 2y'
_cell_length_a 7.891
_cell_length_b 12.632
_cell_length_c 5.171
_cell_angle_alpha 90.00
_cell_angle_beta 107.66
_cell_angle_gamma 90.00
loop_
_atom_site_label
_atom_site_type_symbol
_atom_site_fract_x
_atom_site_fract_y
_atom_site_fract_z
Mg1 Mg 0.000 0.237 0.000
Mg2 Mg 0.101 0.500 0.797
Mg3 Mg 0.203 0.121 0.608
Tl1 Tl 0.000 0.000 0.000
Zn1 Zn 0.000 0.307 0.500
```